No. 1
A plane-wave DFT calculation with PBE-GGA was carried out for Ag4TeMo after structural relaxation.

Cell: 5.572 5.572 5.572 Å, 60.00 60.00 60.00°
Sites, in units of the cell vectors:
Mo 0.750 0.750 0.750
Ag 0.375 0.874 0.375
Ag 0.375 0.375 0.375
Ag 0.375 0.375 0.874
Te 0.000 0.000 0.000
Ag 0.874 0.375 0.375

Results
For the energy relative to the elements, uncorrected, the calculation gives 3.2 eV per formula unit.



No. 2
A plane-wave DFT calculation with PBE-GGA was carried out for SrThPd2Pt2 after structural relaxation.

Cell: 4.545 4.545 7.802 Å, 90.00 90.00 120.00°
Sites, in units of the cell vectors:
Pd 0.333 0.667 0.721
Th 0.000 0.000 0.500
Pd 0.667 0.333 0.279
Pt 0.667 0.333 0.717
Sr 0.000 0.000 0.000
Pt 0.333 0.667 0.283



No. 3
A plane-wave DFT calculation with PBE-GGA was carried out for Ca2ZnPdN after structural relaxation.

Cell: 4.892 4.892 4.087 Å, 90.00 90.00 90.00°
Sites, in units of the cell vectors:
Pd 0.000 0.000 0.500
Ca 0.500 0.000 0.000
Ca 0.000 0.500 0.000
Zn 0.500 0.500 0.500
N 0.000 0.000 0.000

Results
For the polymorph energy (0 for the lowest one), the calculation gives 94 meV/atom. For the energy relative to the elements, uncorrected, the calculation gives -2.2 eV per formula unit.



No. 4
A plane-wave DFT calculation with PBE-GGA was carried out for K2TiSn2 after structural relaxation.

Cell: 10.130 10.130 3.061 Å, 90.00 90.00 90.00°
Sites, in units of the cell vectors:
Ti 0.000 0.000 0.000
Sn 0.318 0.182 0.500
K 0.616 0.116 0.000
Ti 0.500 0.500 0.000
K 0.116 0.384 0.000
K 0.884 0.616 0.000
Sn 0.818 0.318 0.500
Sn 0.682 0.818 0.500
K 0.384 0.884 0.000
Sn 0.182 0.682 0.500

Results
For the polymorph energy (0 for the lowest one), the calculation gives 0 meV/atom.



Computed values of energy (unit: eV per atom) for the preceding records, in sequence: -3.691; -6.070; -4.191; -3.001.
Computed values of total magnetic moment (unit: μB/cell) for the preceding records, in sequence: 4.0; 0.0; 0.0; 0.0.